A plane-wave DFT calculation with PBE was carried out for an optimized crystal structure of MoPd2Pt3.

Output
* energy relative to the elements: -195 meV per atom
* calculated volume: 15.43 Å³/atom
* total energy: -6.751 eV per atom

Structure (POSCAR):
```
MoPd2Pt3
1.0
-0.643 -3.824 -0.858
2.509 -1.064 2.860
-8.913 -0.236 7.730
Pd Pt Mo
4 6 2
direct
0.000 0.500 0.839
0.000 0.000 0.339
0.000 0.500 0.161
0.000 0.000 0.661
0.500 0.000 0.163
0.500 0.500 0.000
0.500 0.000 0.500
0.500 0.500 0.337
0.500 0.500 0.663
0.500 0.000 0.837
0.000 0.500 0.500
0.000 0.000 0.000
```